A plane-wave DFT calculation with PBE was carried out for BaAs3I after structural relaxation.

Unit cell a=5.4650 b=5.4650 c=5.4650 alpha=90.00 beta=90.00 gamma=90.00
Atoms (fractional coordinates):
1 As 0.5000 0.0000 0.0000
2 As 0.0000 0.0000 0.5000
3 As 0.0000 0.5000 0.0000
4 Ba 0.5000 0.5000 0.5000
5 I 0.0000 0.0000 0.0000

- Spin magnetization: 0.00 μB per formula unit
- Crystal system: cubic
- DOS(E_F): 4.67 states/eV/cell
- Energy relative to the elements, uncorrected: 0.315 eV per atom
- Offset from the most stable computed form: 0.0 meV/atom



A plane-wave DFT calculation with PBE was carried out for BaAsI after structural relaxation.

Unit cell a=5.1195 b=5.0203 c=12.9897 alpha=85.25 beta=78.63 gamma=59.34
Atoms (fractional coordinates):
1 As 0.5954 0.2656 0.5436
2 As 0.4046 0.7344 0.4564
3 I 0.2569 0.3311 0.1550
4 I 0.7431 0.6689 0.8450
5 Ba 0.1586 0.9828 0.7000
6 Ba 0.8414 0.0172 0.3000

- Spin magnetization: 0.00 μB per formula unit
- Crystal system: monoclinic
- DOS(E_F): 2.48 states/eV/cell
- Energy relative to the elements, uncorrected: -1.138 eV per atom
- Offset from the most stable computed form: 0.0 meV/atom



A plane-wave DFT calculation with PBE was carried out for Ba3As2I after structural relaxation.

Unit cell a=8.7755 b=8.7805 c=7.9560 alpha=90.00 beta=90.00 gamma=119.98
Atoms (fractional coordinates):
1 Ba 0.4999 0.6086 0.2500
2 Ba 0.5001 0.3914 0.7500
3 Ba 0.8914 0.3914 0.2500
4 Ba 0.1086 0.6086 0.7500
5 Ba 0.8905 0.0000 0.7500
6 Ba 0.1095 0.0000 0.2500
7 I 0.5010 0.0000 0.2500
8 I 0.4990 0.0000 0.7500
9 As 0.8335 0.6669 0.5000
10 As 0.1665 0.3331 0.5000
11 As 0.1665 0.3331 0.0000
12 As 0.8335 0.6669 0.0000

- Spin magnetization: 0.00 μB per formula unit
- Crystal system: orthorhombic
- DOS(E_F): 6.24 states/eV/cell
- Energy relative to the elements, uncorrected: -1.167 eV per atom



A plane-wave DFT calculation with PBE was carried out for Ba4As2I after structural relaxation.

Unit cell a=4.8179 b=4.8179 c=16.8607 alpha=81.79 beta=81.79 gamma=60.00
Atoms (fractional coordinates):
1 I 0.0000 0.0000 0.0000
2 Ba 0.1196 0.1196 0.6411
3 Ba 0.2831 0.2831 0.1508
4 Ba 0.7169 0.7169 0.8492
5 Ba 0.8804 0.8804 0.3589
6 As 0.4183 0.4183 0.7450
7 As 0.5817 0.5817 0.2550

- Spin magnetization: 0.00 μB per formula unit
- Crystal system: trigonal
- DOS(E_F): 2.08 states/eV/cell
- Energy relative to the elements, uncorrected: -1.217 eV per atom



A plane-wave DFT calculation with PBE was carried out for Ba2AsI after structural relaxation.

Unit cell a=8.7595 b=8.7595 c=7.9687 alpha=56.66 beta=56.66 gamma=90.00
Atoms (fractional coordinates):
1 I 0.7500 0.2500 0.5000
2 I 0.0000 0.0000 0.0000
3 As 0.5000 0.5000 0.0000
4 As 0.2500 0.7500 0.5000
5 Ba 0.3750 0.4168 0.7500
6 Ba 0.5832 0.1250 0.2500
7 Ba 0.1668 0.6250 0.2500
8 Ba 0.8750 0.8332 0.7500

- Spin magnetization: 0.00 μB per formula unit
- Crystal system: tetragonal
- DOS(E_F): 0.00 states/eV/cell
- Energy relative to the elements, uncorrected: -1.220 eV per atom



A plane-wave DFT calculation with PBE was carried out for Ba6As3I after structural relaxation.

Unit cell a=4.7511 b=13.1405 c=16.7278 alpha=112.36 beta=90.00 gamma=90.00
Atoms (fractional coordinates):
1 As 0.2500 0.5808 0.4144
2 As 0.2500 0.2476 0.7494
3 As 0.2500 0.9782 0.1217
4 As 0.7500 0.0218 0.8783
5 As 0.7500 0.4192 0.5856
6 As 0.7500 0.7524 0.2506
7 Ba 0.2500 0.9963 0.7363
8 Ba 0.2500 0.8683 0.9125
9 Ba 0.7500 0.6528 0.5608
10 Ba 0.7500 0.2836 0.8893
11 Ba 0.2500 0.8194 0.3996
12 Ba 0.7500 0.1806 0.6004
13 Ba 0.7500 0.1317 0.0875
14 Ba 0.7500 0.5158 0.2709
15 Ba 0.7500 0.0037 0.2637
16 Ba 0.2500 0.7164 0.1107
17 Ba 0.2500 0.3472 0.4392
18 Ba 0.2500 0.4842 0.7291
19 I 0.7500 0.6247 0.9186
20 I 0.2500 0.3753 0.0814

- Spin magnetization: 0.31 μB per formula unit
- Crystal system: monoclinic
- DOS(E_F): 6.89 states/eV/cell
- Energy relative to the elements, uncorrected: -1.077 eV per atom



A plane-wave DFT calculation with PBE was carried out for Ba4As12I after structural relaxation.

Unit cell a=9.2479 b=9.2485 c=9.2480 alpha=109.47 beta=109.47 gamma=109.47
Atoms (fractional coordinates):
1 As 0.1126 0.3871 0.4997
2 As 0.5003 0.8874 0.6129
3 As 0.3871 0.4997 0.1126
4 As 0.4997 0.1126 0.3871
5 As 0.8874 0.3871 0.2745
6 As 0.7255 0.1126 0.6129
7 As 0.3871 0.2745 0.8874
8 As 0.6129 0.7255 0.1126
9 As 0.2745 0.8874 0.3871
10 As 0.6129 0.5003 0.8874
11 As 0.8874 0.6129 0.5003
12 As 0.1126 0.6129 0.7255
13 Ba 0.5000 0.5000 0.5000
14 Ba 0.5000 0.0000 0.0000
15 Ba 0.0000 0.0000 0.5000
16 Ba 0.0000 0.5000 0.0000
17 I 0.0000 0.0000 0.0000

- Spin magnetization: 0.00 μB per formula unit
- Crystal system: cubic
- DOS(E_F): 5.46 states/eV/cell
- Energy relative to the elements, uncorrected: -0.500 eV per atom



A plane-wave DFT calculation with PBE was carried out for Ba4As2I5 after structural relaxation.

Unit cell a=4.9543 b=9.3074 c=12.0976 alpha=112.66 beta=101.82 gamma=90.00
Atoms (fractional coordinates):
1 Ba 0.7005 0.7002 0.4009
2 Ba 0.0001 0.7207 0.0002
3 Ba 0.2995 0.2998 0.5991
4 Ba 0.9999 0.2793 0.9998
5 As 0.4459 0.4459 0.8918
6 As 0.5541 0.5541 0.1082
7 I 0.5000 0.0000 0.0000
8 I 0.8311 0.5936 0.6621
9 I 0.1689 0.4064 0.3379
10 I 0.1691 0.9310 0.3382
11 I 0.8309 0.0690 0.6618

- Spin magnetization: 0.98 μB per formula unit
- Crystal system: monoclinic
- DOS(E_F): 4.22 states/eV/cell
- Energy relative to the elements, uncorrected: -1.477 eV per atom
- Offset from the most stable computed form: 0.0 meV/atom



A plane-wave DFT calculation with PBE was carried out for Ba6As2IrI3 after structural relaxation.

Unit cell a=8.2519 b=8.2519 c=8.8789 alpha=98.92 beta=98.92 gamma=119.99
Atoms (fractional coordinates):
1 Ir 0.0000 0.0000 0.0000
2 Ba 0.9336 0.6128 0.8009
3 Ba 0.2542 0.2542 0.8005
4 Ba 0.7458 0.7458 0.1995
5 Ba 0.3872 0.0664 0.1991
6 Ba 0.6128 0.9336 0.8009
7 Ba 0.0664 0.3872 0.1991
8 As 0.6665 0.3335 0.0000
9 As 0.3335 0.6665 0.0000
10 I 0.1688 0.8312 0.5000
11 I 0.5000 0.5000 0.5000
12 I 0.8312 0.1688 0.5000

- Spin magnetization: 0.00 μB per formula unit
- Crystal system: monoclinic
- Energy relative to the elements, uncorrected: -1.248 eV per atom



A plane-wave DFT calculation with PBE was carried out for BaLi2AsI8 after structural relaxation.

Unit cell a=7.4731 b=7.4731 c=9.4974 alpha=90.00 beta=90.00 gamma=120.00
Atoms (fractional coordinates):
1 I 0.6830 0.9705 0.3154
2 I 0.0295 0.7125 0.3154
3 I 0.9705 0.2875 0.6846
4 I 0.3333 0.6667 0.0004
5 I 0.6667 0.3333 0.9996
6 I 0.7125 0.6830 0.6846
7 I 0.3170 0.0295 0.6846
8 I 0.2875 0.3170 0.3154
9 Li 0.6667 0.3333 0.2884
10 Li 0.3333 0.6667 0.7116
11 Ba 0.0000 0.0000 0.0000
12 As 0.0000 0.0000 0.5000

- Spin magnetization: 0.00 μB per formula unit
- Crystal system: trigonal
- DOS(E_F): 13.04 states/eV/cell
- Energy relative to the elements, uncorrected: -0.781 eV per atom